Model i:
! NbCoCuSn | OQMD | GGA-PBE | optimized geometry; values from VASP
! ρ	8.95	g cm⁻³
! space-group type	F-43m
! crystal system	cubic
&SYSTEM
  ibrav = 0, nat = 4, ntyp = 4
/
ATOMIC_SPECIES
Co 58.93 Co.upf
Cu 63.55 Cu.upf
Nb 92.91 Nb.upf
Sn 118.71 Sn.upf
CELL_PARAMETERS angstrom
-3.992 -1.371 1.388
-1.682 1.552 3.808
-3.456 2.791 -0.073
ATOMIC_POSITIONS angstrom
Co -4.565 1.486 2.561
Cu -6.848 2.229 3.842
Nb -2.283 0.743 1.281
Sn 0.000 0.000 0.000


Model ii:
! NbCoCuSn | OQMD | GGA-PBE | optimized geometry; values from VASP
! ρ	9.21	g cm⁻³
! space-group type	F-43m
! crystal system	cubic
&SYSTEM
  ibrav = 0, nat = 4, ntyp = 4
/
ATOMIC_SPECIES
Co 58.93 Co.upf
Cu 63.55 Cu.upf
Nb 92.91 Nb.upf
Sn 118.71 Sn.upf
CELL_PARAMETERS angstrom
-2.694 -1.794 2.981
-3.625 -2.124 -1.307
-0.247 -4.376 0.391
ATOMIC_POSITIONS angstrom
Co -4.925 -6.221 1.549
Cu -1.641 -2.074 0.516
Nb -3.283 -4.147 1.033
Sn 0.000 0.000 0.000


The least stable of them is model i.